# 1
Here is a relaxed LuTlNi2 crystal from the Open Quantum Materials Database. Energies are from PBE-GGA.

Space group: F-43m
Calculated total energy, eV per atom: -4.4859

Cell: 4.6165 4.6165 4.6165 Å, 60.00 60.00 60.00°
Positions (direct):
Ni1 0.0000 0.0000 0.0000
Ni2 0.7500 0.7500 0.7500
Lu1 0.2500 0.2500 0.2500
Tl1 0.5000 0.5000 0.5000

***

# 2
Here is a relaxed HoTmCu6 crystal from the Open Quantum Materials Database. Energies are from PBE-GGA.

Energy of formation from the pure elements, meV per atom: -186
Space group: Pmm2

Cell: 4.4181 5.6915 5.0256 Å, 90.00 90.00 90.00°
Positions (direct):
Cu1 0.0000 0.7625 0.3566
Cu2 0.5000 0.2711 0.6398
Cu3 0.5000 0.0000 0.2469
Cu4 0.0000 0.5000 0.7626
Cu5 0.5000 0.7289 0.6398
Cu6 0.0000 0.2375 0.3566
Tm1 0.5000 0.5000 0.1380
Ho1 0.0000 0.0000 0.8596

***

# 3
Here is a relaxed TbYGa2Pt4 crystal from the Open Quantum Materials Database. Energies are from PBE-GGA.

Distance to the lowest polymorph of the same formula, meV/atom: 184.0
Space group: P4/mmm

Cell: 4.7109 4.7109 6.6632 Å, 90.00 90.00 90.00°
Positions (direct):
Ga1 0.0000 0.0000 0.0000
Ga2 0.5000 0.5000 0.5000
Pt1 0.5000 0.0000 0.7500
Pt2 0.0000 0.5000 0.7500
Pt3 0.5000 0.0000 0.2500
Pt4 0.0000 0.5000 0.2500
Tb1 0.0000 0.0000 0.5000
Y1 0.5000 0.5000 0.0000

***

# 4
Here is a relaxed PrYGa2Br2 crystal from the Open Quantum Materials Database. Energies are from PBE-GGA.

Space group: P3m1
Calculated total energy, eV per atom: -4.6863

Cell: 4.1928 4.1928 11.4241 Å, 90.00 90.00 120.00°
Positions (direct):
Y1 0.0000 0.0000 0.3165
Br1 0.6667 0.3333 0.8457
Br2 0.3333 0.6667 0.1654
Pr1 0.0000 0.0000 0.6826
Ga1 0.3333 0.6667 0.5229
Ga2 0.6667 0.3333 0.4669

***

# 5
Here is a relaxed HfCoBPt crystal from the Open Quantum Materials Database. Energies are from PBE-GGA.

Distance to the lowest polymorph of the same formula, meV/atom: 0.0
Space group: F-43m

Cell: 4.2568 4.2568 4.2568 Å, 60.00 60.00 60.00°
Last column: magnetic moment on the atom in μB.
Positions (direct):
Hf1 0.5000 0.5000 0.5000  -0.02
Pt1 0.2500 0.2500 0.2500  0.23
Co1 0.7500 0.7500 0.7500  1.32
B1 0.0000 0.0000 0.0000  0.10

***

# 6
Here is a relaxed LiFeSiSb crystal from the Open Quantum Materials Database. Energies are from PBE-GGA.

Distance to the lowest polymorph of the same formula, meV/atom: 323.1
Space group: F-43m

Cell: 4.4863 4.4863 4.4863 Å, 60.00 60.00 60.00°
Positions (direct):
Li1 0.7500 0.7500 0.7500
Fe1 0.5000 0.5000 0.5000
Si1 0.2500 0.2500 0.2500
Sb1 0.0000 0.0000 0.0000